Entry 1:
# TbHoBe2, optimized geometry, DFT PBE
data_TbHoBe2
_chemical_formula_sum 'Tb1 Ho1 Be2'
_space_group_name_H-M_alt 'P 1'
_space_group_IT_number 1
_space_group_name_Hall 'P 1'
_cell_length_a 4.819
_cell_length_b 4.819
_cell_length_c 4.819
_cell_angle_alpha 60.00
_cell_angle_beta 60.00
_cell_angle_gamma 60.00
loop_
_atom_site_label
_atom_site_type_symbol
_atom_site_fract_x
_atom_site_fract_y
_atom_site_fract_z
Tb1 Tb 0.000 0.000 0.000
Ho1 Ho 0.500 0.500 0.500
Be1 Be 0.250 0.250 0.250
Be2 Be 0.750 0.750 0.750
# - Space group: Fm-3m, No. 225
# - Total DFT energy (no corrections): -16.24 eV per cell
# - N(E_F): 4.37 states/eV/f.u.

Entry 2:
# LiAl2Te, optimized geometry, DFT PBE
data_LiAl2Te
_chemical_formula_sum 'Li1 Al2 Te1'
_space_group_name_H-M_alt 'P 1'
_space_group_IT_number 1
_space_group_name_Hall 'P 1'
_cell_length_a 3.188
_cell_length_b 3.188
_cell_length_c 8.484
_cell_angle_alpha 90.00
_cell_angle_beta 90.00
_cell_angle_gamma 103.01
loop_
_atom_site_label
_atom_site_type_symbol
_atom_site_fract_x
_atom_site_fract_y
_atom_site_fract_z
Li1 Li 0.000 0.000 0.000
Al1 Al 0.500 0.500 0.231
Al2 Al 0.500 0.500 0.769
Te1 Te 0.000 0.000 0.500
# - ΔE_f (raw): 0.7 eV per formula unit
# - Space group: Cmmm, No. 65
# - N(E_F): 1.60 states/eV/f.u.

Entry 3:
# TbNpO4, optimized geometry, DFT PBE
data_TbNpO4
_chemical_formula_sum 'Tb1 Np1 O4'
_space_group_name_H-M_alt 'P 1'
_space_group_IT_number 1
_space_group_name_Hall 'P 1'
_cell_length_a 5.060
_cell_length_b 5.060
_cell_length_c 3.539
_cell_angle_alpha 90.00
_cell_angle_beta 90.00
_cell_angle_gamma 91.72
loop_
_atom_site_label
_atom_site_type_symbol
_atom_site_fract_x
_atom_site_fract_y
_atom_site_fract_z
Tb1 Tb 0.000 0.000 0.000
Np1 Np 0.500 0.500 0.500
O1 O 0.206 0.206 0.500
O2 O 0.317 0.683 0.000
O3 O 0.683 0.317 0.000
O4 O 0.794 0.794 0.500
# - ΔE_f (raw): -19.4 eV per formula unit
# - Space group: Cmmm, No. 65
# - N(E_F): 3.52 states/eV/f.u.

Entry 4:
# Li2CdRe, optimized geometry, DFT PBE
data_Li2CdRe
_chemical_formula_sum 'Li2 Cd1 Re1'
_space_group_name_H-M_alt 'P 1'
_space_group_IT_number 1
_space_group_name_Hall 'P 1'
_cell_length_a 2.628
_cell_length_b 4.701
_cell_length_c 5.219
_cell_angle_alpha 90.00
_cell_angle_beta 93.15
_cell_angle_gamma 90.00
loop_
_atom_site_label
_atom_site_type_symbol
_atom_site_fract_x
_atom_site_fract_y
_atom_site_fract_z
Li1 Li 0.192 0.000 0.214
Li2 Li 0.808 0.000 0.786
Cd1 Cd 0.000 0.500 0.500
Re1 Re 0.500 0.500 0.000
# - Space group: P2/m, No. 10
# - Total DFT energy (no corrections): -15.90 eV per cell
# - N(E_F): 2.69 states/eV/f.u.

> Look up the N(E_F) of the second one.

1.60 states/eV/f.u.

> Among the records above, which one has the highest N(E_F)?

TbHoBe2